Model P:
DFT (PBE) results for a relaxed structure of BeMo2Au.

Structure (CIF):
```
data_BeMo2Au
_chemical_formula_sum 'Be4 Mo8 Au4'
_space_group_name_H-M_alt 'F -4 3 m'
_space_group_IT_number 216
_space_group_name_Hall 'F -4 2 3'
_cell_length_a 6.2249
_cell_length_b 6.2249
_cell_length_c 6.2249
_cell_angle_alpha 90.00
_cell_angle_beta 90.00
_cell_angle_gamma 90.00
loop_
_atom_site_label
_atom_site_type_symbol
_atom_site_fract_x
_atom_site_fract_y
_atom_site_fract_z
Be1 Be 0.0000 0.0000 0.0000
Mo1 Mo 0.0000 0.0000 0.5000
Mo2 Mo 0.2500 0.2500 0.2500
Au1 Au 0.2500 0.2500 0.7500
```

Values from the calculation:
Total moment, μB per formula unit: 0.00
DOS at the Fermi energy, states/eV per cell: 14.16



Model Q:
DFT (PBE) results for a relaxed structure of BeMo2Au.

Structure (CIF):
```
data_BeMo2Au
_chemical_formula_sum 'Be1 Mo2 Au1'
_space_group_name_H-M_alt 'P 4/m m m'
_space_group_IT_number 123
_space_group_name_Hall '-P 4 2'
_cell_length_a 3.6692
_cell_length_b 3.6692
_cell_length_c 4.3806
_cell_angle_alpha 90.00
_cell_angle_beta 90.00
_cell_angle_gamma 90.00
loop_
_atom_site_label
_atom_site_type_symbol
_atom_site_fract_x
_atom_site_fract_y
_atom_site_fract_z
Be1 Be 0.0000 0.0000 0.0000
Mo1 Mo 0.0000 0.5000 0.5000
Au1 Au 0.5000 0.5000 0.0000
```

Values from the calculation:
Total moment, μB per formula unit: 0.00
DOS at the Fermi energy, states/eV per cell: 1.26



Decreasing stability: model Q, model P



Model P:
DFT (PBE) results for a relaxed structure of BeMo2Au.

Structure (CIF):
```
data_BeMo2Au
_chemical_formula_sum 'Be1 Mo2 Au1'
_space_group_name_H-M_alt 'P 1 2/m 1'
_space_group_IT_number 10
_cell_length_a 2.7613
_cell_length_b 4.1431
_cell_length_c 5.2121
_cell_angle_alpha 90.00
_cell_angle_beta 95.55
_cell_angle_gamma 90.00
loop_
_space_group_symop_operation_xyz
'x,y,z'
'-x,-y,-z'
'-x,y,-z'
'x,-y,z'
loop_
_atom_site_label
_atom_site_type_symbol
_atom_site_fract_x
_atom_site_fract_y
_atom_site_fract_z
Be1 Be 0.0000 0.0000 0.0000
Mo1 Mo 0.4503 0.5000 0.2245
Au1 Au 0.0000 0.0000 0.5000
```

Values from the calculation:
Total moment, μB per formula unit: 0.00
DOS at the Fermi energy, states/eV per cell: 1.68



Model Q:
DFT (PBE) results for a relaxed structure of BeMo2Au.

Structure (CIF):
```
data_BeMo2Au
_chemical_formula_sum 'Be2 Mo4 Au2'
_space_group_name_H-M_alt 'C m m m'
_space_group_IT_number 65
_space_group_name_Hall '-C 2 2'
_cell_length_a 5.0725
_cell_length_b 8.5879
_cell_length_c 2.7448
_cell_angle_alpha 90.00
_cell_angle_beta 90.00
_cell_angle_gamma 90.00
loop_
_atom_site_label
_atom_site_type_symbol
_atom_site_fract_x
_atom_site_fract_y
_atom_site_fract_z
Be1 Be 0.0000 0.0000 0.0000
Mo1 Mo 0.2500 0.2500 0.5000
Au1 Au 0.0000 0.5000 0.0000
```

Values from the calculation:
Total moment, μB per formula unit: 0.00
DOS at the Fermi energy, states/eV per cell: 3.13



Model R:
DFT (PBE) results for a relaxed structure of BeMo2Au.

Structure (CIF):
```
data_BeMo2Au
_chemical_formula_sum 'Be2 Mo4 Au2'
_space_group_name_H-M_alt 'I m m m'
_space_group_IT_number 71
_space_group_name_Hall '-I 2 2'
_cell_length_a 3.6207
_cell_length_b 3.7765
_cell_length_c 8.5838
_cell_angle_alpha 90.00
_cell_angle_beta 90.00
_cell_angle_gamma 90.00
loop_
_atom_site_label
_atom_site_type_symbol
_atom_site_fract_x
_atom_site_fract_y
_atom_site_fract_z
Be1 Be 0.0000 0.0000 0.0000
Mo1 Mo 0.0000 0.5000 0.2519
Au1 Au 0.0000 0.0000 0.5000
```

Values from the calculation:
Total moment, μB per formula unit: 0.00
DOS at the Fermi energy, states/eV per cell: 3.56



Model S:
DFT (PBE) results for a relaxed structure of BeMo2Au.

Structure (CIF):
```
data_BeMo2Au
_chemical_formula_sum 'Be2 Mo4 Au2'
_space_group_name_H-M_alt 'C 1 m 1'
_space_group_IT_number 8
_cell_length_a 8.9868
_cell_length_b 2.6773
_cell_length_c 5.0544
_cell_angle_alpha 90.00
_cell_angle_beta 95.48
_cell_angle_gamma 90.00
loop_
_space_group_symop_operation_xyz
'x,y,z'
'x,-y,z'
'x+1/2,y+1/2,z'
'x+1/2,-y+1/2,z'
loop_
_atom_site_label
_atom_site_type_symbol
_atom_site_fract_x
_atom_site_fract_y
_atom_site_fract_z
Be1 Be 0.0000 0.0000 0.0000
Mo1 Mo 0.2547 0.0000 0.7651
Mo2 Mo 0.4949 0.0000 0.5406
Au1 Au 0.2476 0.5000 0.2419
```

Values from the calculation:
Total moment, μB per formula unit: 0.00
DOS at the Fermi energy, states/eV per cell: 3.92



Decreasing stability: model R, model P, model Q, model S



Model P:
DFT (PBE) results for a relaxed structure of BeMoAu2.

Structure (CIF):
```
data_BeMoAu2
_chemical_formula_sum 'Be1 Mo1 Au2'
_space_group_name_H-M_alt 'P 4/m m m'
_space_group_IT_number 123
_space_group_name_Hall '-P 4 2'
_cell_length_a 4.7647
_cell_length_b 4.7647
_cell_length_c 2.8059
_cell_angle_alpha 90.00
_cell_angle_beta 90.00
_cell_angle_gamma 90.00
loop_
_atom_site_label
_atom_site_type_symbol
_atom_site_fract_x
_atom_site_fract_y
_atom_site_fract_z
Be1 Be 0.0000 0.0000 0.0000
Mo1 Mo 0.5000 0.5000 0.0000
Au1 Au 0.0000 0.5000 0.5000
```

Values from the calculation:
Total moment, μB per formula unit: 0.82
DOS at the Fermi energy, states/eV per cell: 2.97



Model Q:
DFT (PBE) results for a relaxed structure of BeMoAu2.

Structure (CIF):
```
data_BeMoAu2
_chemical_formula_sum 'Be1 Mo1 Au2'
_space_group_name_H-M_alt 'P 4/m m m'
_space_group_IT_number 123
_space_group_name_Hall '-P 4 2'
_cell_length_a 2.8599
_cell_length_b 2.8599
_cell_length_c 7.2367
_cell_angle_alpha 90.00
_cell_angle_beta 90.00
_cell_angle_gamma 90.00
loop_
_atom_site_label
_atom_site_type_symbol
_atom_site_fract_x
_atom_site_fract_y
_atom_site_fract_z
Be1 Be 0.0000 0.0000 0.0000
Mo1 Mo 0.0000 0.0000 0.5000
Au1 Au 0.5000 0.5000 0.2087
```

Values from the calculation:
Total moment, μB per formula unit: 0.00
DOS at the Fermi energy, states/eV per cell: 2.55



Decreasing stability: model Q, model P